Crystalline AcPrInAg at its relaxed geometry, computed with GGA-PBE.

ΔE to the lowest computed polymorph: 0.017 eV/atom
Total magnetization: 0.0075 μB per atom
Formation energy: -330 meV/atom
Total DFT energy (no corrections): -3.95 eV/atom

```
AcPrInAg
1.0
0.000 3.957 3.957
3.957 0.000 3.957
3.957 3.957 0.000
Ac Pr In Ag
1 1 1 1
direct
0.000 0.000 0.000
0.500 0.500 0.500
0.250 0.250 0.250
0.750 0.750 0.750
```